Entry from the Alexandria database: an optimized crystal structure of Li2MnHgN (PBE-GGA).

Values from the calculation:
calculated volume	13.57	Å³/atom
energy relative to the elements, uncorrected	-310.9	meV per atom

POSCAR file:
```
Li2MnHgN
1.0
-0.0657 4.2570 -0.3855
-3.2409 -0.3009 -2.7714
-2.4203 0.2168 2.8068
Mn Li Hg N
1 2 1 1
Cartesian
-1.2102 0.1084 1.4034
-1.6205 -0.1505 -1.3857
-0.0328 2.1285 -0.1927
-2.8635 2.0864 -0.1750
0.0000 0.0000 0.0000
```